Entry 1:
A relaxed structure of TlHg2Cl, computed with PBE-GGA. Values from VASP.

Electronic total energy ... -1.583 eV per atom
Density of states at the Fermi level ... 0.00 states/eV per atom
Formation energy from raw total energies ... -378.9 meV per atom
Calculated volume ... 31.86 Å³/atom
Crystal system ... tetragonal

Cell and atoms, written as Quantum ESPRESSO input:
```
&SYSTEM
  ibrav = 0, nat = 8, ntyp = 3
/
ATOMIC_SPECIES
Hg 200.59 Hg.upf
Tl 204.38 Tl.upf
Cl 35.45 Cl.upf
ATOMIC_POSITIONS crystal
Hg 0.875 0.876 0.750
Hg 0.124 0.625 0.250
Hg 0.626 0.125 0.250
Hg 0.375 0.374 0.750
Tl 0.000 0.000 0.000
Tl 0.750 0.250 0.500
Cl 0.250 0.750 0.500
Cl 0.500 0.500 0.000
CELL_PARAMETERS angstrom
9.072 0.000 0.000
0.000 9.072 0.000
4.536 4.536 3.098
```


Entry 2:
A relaxed structure of TlHgCl5, computed with PBE-GGA. Values from VASP.

Electronic total energy ... -2.305 eV per atom
Density of states at the Fermi level ... 0.00 states/eV per atom
Formation energy from raw total energies ... -605.0 meV per atom
Calculated volume ... 35.96 Å³/atom
Crystal system ... triclinic

Cell and atoms, written as Quantum ESPRESSO input:
```
&SYSTEM
  ibrav = 0, nat = 14, ntyp = 3
/
ATOMIC_SPECIES
Cl 35.45 Cl.upf
Tl 204.38 Tl.upf
Hg 200.59 Hg.upf
ATOMIC_POSITIONS crystal
Cl 0.517 0.863 0.743
Cl 0.933 0.364 0.214
Cl 0.067 0.636 0.786
Cl 0.844 0.821 0.498
Cl 0.156 0.179 0.502
Cl 0.483 0.137 0.257
Cl 0.202 0.740 0.249
Cl 0.641 0.636 0.972
Cl 0.798 0.260 0.751
Cl 0.359 0.364 0.028
Tl 0.797 0.584 0.223
Tl 0.203 0.416 0.777
Hg 0.500 0.000 0.000
Hg 0.500 0.000 0.500
CELL_PARAMETERS angstrom
6.692 -0.615 -2.800
-1.724 8.788 -3.292
-0.659 -1.461 9.701
```


Entry 3:
A relaxed structure of TlHgCl4, computed with PBE-GGA. Values from VASP.

Electronic total energy ... -2.298 eV per atom
Density of states at the Fermi level ... 0.30 states/eV per atom
Formation energy from raw total energies ... -621.9 meV per atom
Calculated volume ... 31.32 Å³/atom
Crystal system ... monoclinic

Cell and atoms, written as Quantum ESPRESSO input:
```
&SYSTEM
  ibrav = 0, nat = 12, ntyp = 3
/
ATOMIC_SPECIES
Cl 35.45 Cl.upf
Hg 200.59 Hg.upf
Tl 204.38 Tl.upf
ATOMIC_POSITIONS crystal
Cl 0.788 0.190 0.358
Cl 0.235 0.375 0.144
Cl 0.735 0.125 0.856
Cl 0.212 0.810 0.642
Cl 0.288 0.310 0.642
Cl 0.765 0.625 0.856
Cl 0.712 0.690 0.358
Cl 0.265 0.875 0.144
Hg 0.000 0.000 0.000
Hg 0.500 0.500 0.000
Tl 0.000 0.500 0.500
Tl 0.500 0.000 0.500
CELL_PARAMETERS angstrom
-2.573 3.578 4.530
-3.066 -6.504 3.397
6.980 0.905 3.250
```


Entry 4:
A relaxed structure of Tl2Hg2Cl7, computed with PBE-GGA. Values from VASP.

Electronic total energy ... -2.313 eV per atom
Density of states at the Fermi level ... 0.42 states/eV per atom
Formation energy from raw total energies ... -652.5 meV per atom
Calculated volume ... 36.04 Å³/atom
Crystal system ... monoclinic

Cell and atoms, written as Quantum ESPRESSO input:
```
&SYSTEM
  ibrav = 0, nat = 11, ntyp = 3
/
ATOMIC_SPECIES
Cl 35.45 Cl.upf
Hg 200.59 Hg.upf
Tl 204.38 Tl.upf
ATOMIC_POSITIONS crystal
Cl 0.782 0.923 0.570
Cl 0.218 0.077 0.430
Cl 0.249 0.592 0.592
Cl 0.751 0.408 0.408
Cl 0.782 0.570 0.923
Cl 0.218 0.430 0.077
Cl 0.500 0.000 0.000
Hg 0.411 0.247 0.247
Hg 0.589 0.753 0.753
Tl 0.000 0.299 0.701
Tl 0.000 0.701 0.299
CELL_PARAMETERS angstrom
6.707 -0.170 -0.195
-0.667 7.801 -0.367
-0.667 -1.401 7.683
```


Entry 5:
A relaxed structure of Tl5HgCl8, computed with PBE-GGA. Values from VASP.

Electronic total energy ... -2.764 eV per atom
Density of states at the Fermi level ... 0.41 states/eV per atom
Formation energy from raw total energies ... -841.9 meV per atom
Calculated volume ... 36.19 Å³/atom
Crystal system ... cubic

Cell and atoms, written as Quantum ESPRESSO input:
```
&SYSTEM
  ibrav = 0, nat = 14, ntyp = 3
/
ATOMIC_SPECIES
Cl 35.45 Cl.upf
Tl 204.38 Tl.upf
Hg 200.59 Hg.upf
ATOMIC_POSITIONS crystal
Cl 0.367 0.367 0.900
Cl 0.875 0.875 0.875
Cl 0.875 0.875 0.376
Cl 0.376 0.875 0.875
Cl 0.367 0.367 0.367
Cl 0.900 0.367 0.367
Cl 0.367 0.900 0.367
Cl 0.875 0.376 0.875
Tl 0.000 0.000 0.000
Tl 0.623 0.623 0.131
Tl 0.623 0.623 0.623
Tl 0.131 0.623 0.623
Tl 0.623 0.131 0.623
Hg 0.250 0.250 0.250
CELL_PARAMETERS angstrom
-1.405 6.952 5.455
0.591 -1.077 8.863
6.840 3.610 4.499
```


Entry 6:
A relaxed structure of Tl2Hg3Cl8, computed with PBE-GGA. Values from VASP.

Electronic total energy ... -2.302 eV per atom
Density of states at the Fermi level ... 0.00 states/eV per atom
Formation energy from raw total energies ... -732.2 meV per atom
Calculated volume ... 34.91 Å³/atom
Crystal system ... monoclinic

Cell and atoms, written as Quantum ESPRESSO input:
```
&SYSTEM
  ibrav = 0, nat = 13, ntyp = 3
/
ATOMIC_SPECIES
Cl 35.45 Cl.upf
Hg 200.59 Hg.upf
Tl 204.38 Tl.upf
ATOMIC_POSITIONS crystal
Cl 0.635 0.110 0.772
Cl 0.365 0.890 0.228
Cl 0.365 0.337 0.228
Cl 0.635 0.663 0.772
Cl 0.089 0.401 0.802
Cl 0.911 0.599 0.198
Cl 0.865 0.113 0.225
Cl 0.135 0.887 0.775
Hg 0.000 0.292 0.000
Hg 0.500 0.000 0.000
Hg 0.000 0.708 0.000
Tl 0.637 0.717 0.433
Tl 0.363 0.283 0.567
CELL_PARAMETERS angstrom
-1.379 6.315 -1.738
3.937 -1.476 -8.487
-7.647 -4.396 2.502
```


Entry 7:
A relaxed structure of Tl4HgCl6, computed with PBE-GGA. Values from VASP.

Electronic total energy ... -2.792 eV per atom
Density of states at the Fermi level ... 0.00 states/eV per atom
Formation energy from raw total energies ... -897.2 meV per atom
Calculated volume ... 30.71 Å³/atom
Crystal system ... tetragonal

Cell and atoms, written as Quantum ESPRESSO input:
```
&SYSTEM
  ibrav = 0, nat = 22, ntyp = 3
/
ATOMIC_SPECIES
Cl 35.45 Cl.upf
Tl 204.38 Tl.upf
Hg 200.59 Hg.upf
ATOMIC_POSITIONS crystal
Cl 0.192 0.365 0.000
Cl 0.692 0.135 0.500
Cl 0.500 0.500 0.719
Cl 0.808 0.635 0.000
Cl 0.365 0.808 0.000
Cl 0.000 0.000 0.781
Cl 0.635 0.192 0.000
Cl 0.135 0.308 0.500
Cl 0.500 0.500 0.281
Cl 0.865 0.692 0.500
Cl 0.000 0.000 0.219
Cl 0.308 0.865 0.500
Tl 0.344 0.156 0.250
Tl 0.844 0.344 0.750
Tl 0.156 0.656 0.250
Tl 0.344 0.156 0.750
Tl 0.844 0.344 0.250
Tl 0.156 0.656 0.750
Tl 0.656 0.844 0.750
Tl 0.656 0.844 0.250
Hg 0.000 0.000 0.500
Hg 0.500 0.500 0.000
CELL_PARAMETERS angstrom
-1.574 6.674 -5.473
-7.442 -3.868 -2.576
-4.374 4.181 6.356
```


Entry 8:
A relaxed structure of TlHg2Cl, computed with PBE-GGA. Values from VASP.

Electronic total energy ... -1.597 eV per atom
Formation energy from raw total energies ... -392.6 meV per atom
Calculated volume ... 32.04 Å³/atom
Crystal system ... orthorhombic

Cell and atoms, written as Quantum ESPRESSO input:
```
&SYSTEM
  ibrav = 0, nat = 4, ntyp = 3
/
ATOMIC_SPECIES
Hg 200.59 Hg.upf
Cl 35.45 Cl.upf
Tl 204.38 Tl.upf
ATOMIC_POSITIONS crystal
Hg 0.746 0.246 0.500
Hg 0.010 0.010 0.000
Cl 0.273 0.773 0.500
Tl 0.471 0.471 0.000
CELL_PARAMETERS angstrom
6.005 -0.170 -0.162
1.567 5.799 0.162
-3.253 -3.531 3.614
```


Entry 9:
A relaxed structure of TlHg2Cl, computed with PBE-GGA. Values from VASP.

Electronic total energy ... -1.625 eV per atom
Formation energy from raw total energies ... -420.5 meV per atom
Calculated volume ... 37.63 Å³/atom
Crystal system ... trigonal

Cell and atoms, written as Quantum ESPRESSO input:
```
&SYSTEM
  ibrav = 0, nat = 4, ntyp = 3
/
ATOMIC_SPECIES
Tl 204.38 Tl.upf
Hg 200.59 Hg.upf
Cl 35.45 Cl.upf
ATOMIC_POSITIONS crystal
Tl 0.487 0.487 0.487
Hg 0.251 0.251 0.251
Hg 0.997 0.997 0.997
Cl 0.765 0.765 0.765
CELL_PARAMETERS angstrom
8.563 -0.278 -0.167
7.462 4.209 -0.167
7.462 1.830 3.793
```


Entry 10:
A relaxed structure of Tl2HgCl4, computed with PBE-GGA. Values from VASP.

Electronic total energy ... -2.613 eV per atom
Density of states at the Fermi level ... 0.00 states/eV per atom
Formation energy from raw total energies ... -838.4 meV per atom
Calculated volume ... 31.49 Å³/atom
Crystal system ... orthorhombic

Cell and atoms, written as Quantum ESPRESSO input:
```
&SYSTEM
  ibrav = 0, nat = 14, ntyp = 3
/
ATOMIC_SPECIES
Cl 35.45 Cl.upf
Hg 200.59 Hg.upf
Tl 204.38 Tl.upf
ATOMIC_POSITIONS crystal
Cl 0.500 0.287 0.936
Cl 0.000 0.624 0.810
Cl 0.000 0.876 0.310
Cl 0.000 0.124 0.690
Cl 0.000 0.376 0.190
Cl 0.500 0.213 0.436
Cl 0.500 0.787 0.564
Cl 0.500 0.713 0.064
Hg 0.000 0.000 0.500
Hg 0.000 0.500 0.000
Tl 0.500 0.088 0.177
Tl 0.500 0.912 0.823
Tl 0.500 0.412 0.677
Tl 0.500 0.588 0.323
CELL_PARAMETERS angstrom
-4.294 -0.292 1.375
1.273 -7.667 2.349
3.229 3.878 10.905
```